DFT (PBE) results for a geometry-optimized SnO structure.

CIF file:
```
data_SnO
_chemical_formula_sum 'Sn1 O1'
_space_group_name_H-M_alt 'P 4/m m m'
_space_group_IT_number 123
_space_group_name_Hall '-P 4 2'
_cell_length_a 3.278
_cell_length_b 3.278
_cell_length_c 3.051
_cell_angle_alpha 90.00
_cell_angle_beta 90.00
_cell_angle_gamma 90.00
loop_
_atom_site_label
_atom_site_fract_x
_atom_site_fract_y
_atom_site_fract_z
Sn1 0.000 0.000 0.000
O1 0.500 0.500 0.000
```

Computed properties:
Magnetization ... 0.00 Bohr magnetons per cell
Theoretical density ... 6.82 g cm⁻³
D(E_F) ... 0.24 states/eV per atom
E_form (uncorrected) ... -0.84 eV per atom